Entry 1:
{"formula": "Sn2Te2Pd3", "functional": "PBE-GGA", "state": "relaxed", "de_polymorph_ev_per_atom": 0.060, "total_magnetization_mub_per_cell": 0.00, "raw_formation_energy_mev_per_atom": -334, "lattice": [[-0.815, 4.261, -0.386], [-5.230, -1.389, -4.290], [-2.954, -2.349, 4.874]], "species": ["Sn", "Sn", "Te", "Te", "Pd", "Pd", "Pd"], "fractional_positions": [[0.363, 0.073, 0.727], [0.637, 0.927, 0.273], [0.146, 0.345, 0.293], [0.854, 0.655, 0.707], [0.000, 0.000, 0.000], [0.218, 0.745, 0.436], [0.782, 0.255, 0.564]]}

---

Entry 2:
{"formula": "YHo2Tm2Th", "functional": "PBE-GGA", "state": "relaxed", "formation_enthalpy_0k_ev_per_atom": 0.17, "total_magnetization_mub_per_cell": 0.00, "lattice": [[-4.533, 3.993, -2.643], [-4.507, -7.682, -3.876], [-1.995, 1.736, 6.044]], "species": ["Y", "Y", "Ho", "Ho", "Ho", "Ho", "Tm", "Tm", "Tm", "Tm", "Th", "Th"], "fractional_positions": [[0.750, 0.205, 0.802], [0.250, 0.795, 0.198], [0.250, 0.115, 0.690], [0.250, 0.482, 0.667], [0.750, 0.885, 0.310], [0.750, 0.518, 0.333], [0.498, 0.174, 0.267], [0.002, 0.174, 0.267], [0.998, 0.826, 0.733], [0.502, 0.826, 0.733], [0.250, 0.434, 0.137], [0.750, 0.566, 0.863]]}

---

Entry 3:
{"formula": "La6As3PSe2", "functional": "PBE-GGA", "state": "relaxed", "total_magnetization_mub_per_cell": 0.00, "raw_formation_energy_mev_per_atom": -1767, "lattice": [[-3.421, 2.025, -1.745], [-4.840, -7.101, 1.250], [0.505, 3.861, 8.891]], "species": ["La", "La", "La", "La", "La", "La", "As", "As", "As", "P", "Se", "Se"], "fractional_positions": [[0.336, 0.924, 0.672], [0.664, 0.588, 0.328], [0.664, 0.076, 0.328], [0.998, 0.243, 0.997], [0.002, 0.757, 0.003], [0.336, 0.412, 0.672], [0.500, 0.500, 0.000], [0.832, 0.167, 0.664], [0.168, 0.833, 0.336], [0.500, 0.000, 0.000], [0.833, 0.665, 0.666], [0.167, 0.335, 0.334]]}

---

Entry 4:
{"formula": "ScNiOs", "functional": "PBE-GGA", "state": "relaxed", "de_polymorph_ev_per_atom": 0.000, "formation_enthalpy_0k_ev_per_atom": -0.45, "total_magnetization_mub_per_cell": 0.00, "lattice": [[-3.056, -0.470, 3.935], [1.258, -3.219, 3.775], [1.548, 1.668, 4.584]], "species": ["Sc", "Sc", "Ni", "Ni", "Os", "Os"], "fractional_positions": [[0.878, 0.372, 0.372], [0.122, 0.628, 0.628], [0.500, 0.500, 0.000], [0.500, 0.000, 0.500], [0.000, 0.000, 0.000], [0.500, 0.000, 0.000]]}

---

Entry 5:
{"formula": "Ce4YGa4", "functional": "PBE-GGA", "state": "relaxed", "formation_enthalpy_0k_ev_per_atom": -0.28, "total_magnetization_mub_per_cell": 6.17, "lattice": [[-4.741, -0.452, 4.083], [-2.519, -7.441, -3.749], [5.114, -4.472, 5.442]], "species": ["Ce", "Ce", "Ce", "Ce", "Ce", "Ce", "Ce", "Ce", "Y", "Y", "Ga", "Ga", "Ga", "Ga", "Ga", "Ga", "Ga", "Ga"], "fractional_positions": [[0.352, 0.282, 0.891], [0.852, 0.609, 0.782], [0.352, 0.718, 0.109], [0.148, 0.218, 0.609], [0.648, 0.891, 0.718], [0.148, 0.782, 0.391], [0.852, 0.391, 0.218], [0.648, 0.109, 0.282], [0.000, 0.000, 0.000], [0.500, 0.500, 0.500], [0.665, 0.780, 0.385], [0.665, 0.220, 0.615], [0.165, 0.885, 0.720], [0.835, 0.280, 0.885], [0.835, 0.720, 0.115], [0.335, 0.385, 0.220], [0.335, 0.615, 0.780], [0.165, 0.115, 0.280]]}

---

Entry 6:
{"formula": "HoEr4Zn", "functional": "PBE-GGA", "state": "relaxed", "de_polymorph_ev_per_atom": 0.103, "formation_enthalpy_0k_ev_per_atom": 0.00, "total_magnetization_mub_per_cell": 0.00, "lattice": [[6.113, -0.649, 0.000], [-2.477, 8.553, 0.000], [-1.818, -3.952, 6.713]], "species": ["Ho", "Ho", "Er", "Er", "Er", "Er", "Er", "Er", "Er", "Er", "Zn", "Zn"], "fractional_positions": [[0.345, 0.595, 0.190], [0.655, 0.405, 0.810], [0.038, 0.162, 0.772], [0.762, 0.714, 0.634], [0.234, 0.610, 0.772], [0.372, 0.920, 0.634], [0.628, 0.080, 0.366], [0.766, 0.390, 0.228], [0.238, 0.286, 0.366], [0.962, 0.838, 0.228], [0.250, 0.000, 0.000], [0.750, 0.000, 0.000]]}

---

Entry 7:
{"formula": "PrSmDyAl", "functional": "PBE-GGA", "state": "relaxed", "de_polymorph_ev_per_atom": 0.127, "formation_enthalpy_0k_ev_per_atom": -0.05, "total_magnetization_mub_per_cell": 0.00, "lattice": [[5.453, 0.000, 0.000], [2.727, 4.723, 0.000], [2.727, 1.574, 4.453]], "species": ["Pr", "Al", "Sm", "Dy"], "fractional_positions": [[0.500, 0.500, 0.500], [0.250, 0.250, 0.250], [0.000, 0.000, 0.000], [0.750, 0.750, 0.750]]}

---

Entry 8:
{"formula": "TbPuNp2As4", "functional": "PBE-GGA", "state": "relaxed", "formation_enthalpy_0k_ev_per_atom": -0.98, "total_magnetization_mub_per_cell": 12.79, "lattice": [[-3.306, -2.208, 1.053], [3.478, -2.493, 5.690], [-3.459, 6.027, 1.782]], "species": ["Tb", "Pu", "Np", "Np", "As", "As", "As", "As"], "fractional_positions": [[0.500, 0.500, 0.000], [0.000, 0.000, 0.000], [0.500, 0.000, 0.500], [0.000, 0.500, 0.500], [0.500, 0.250, 0.253], [0.500, 0.750, 0.747], [0.000, 0.248, 0.746], [0.000, 0.752, 0.254]]}

---

Entry 9:
{"formula": "K3NaTc", "functional": "PBE-GGA", "state": "relaxed", "de_polymorph_ev_per_atom": 0.000, "formation_enthalpy_0k_ev_per_atom": 1.05, "total_magnetization_mub_per_cell": 3.01, "lattice": [[-5.089, 2.706, 3.146], [-2.465, -5.976, 1.154], [3.338, -0.287, 5.648]], "species": ["Na", "K", "K", "K", "Tc"], "fractional_positions": [[0.500, 0.500, 0.500], [0.000, 0.500, 0.000], [0.000, 0.000, 0.500], [0.500, 0.000, 0.000], [0.000, 0.000, 0.000]]}

---

Entry 10:
{"formula": "Pa2Co2Te", "functional": "PBE-GGA", "state": "relaxed", "total_magnetization_mub_per_cell": 0.00, "raw_formation_energy_mev_per_atom": -525, "lattice": [[-0.542, -0.365, -3.571], [-6.123, -3.689, 1.305], [-3.760, 6.218, -0.065]], "species": ["Pa", "Pa", "Pa", "Pa", "Co", "Co", "Co", "Co", "Te", "Te"], "fractional_positions": [[0.500, 0.171, 0.671], [0.500, 0.671, 0.829], [0.500, 0.829, 0.329], [0.500, 0.329, 0.171], [0.000, 0.371, 0.871], [0.000, 0.871, 0.629], [0.000, 0.629, 0.129], [0.000, 0.129, 0.371], [0.000, 0.000, 0.000], [0.000, 0.500, 0.500]]}

---

Entry 11:
{"formula": "Fe2MoBr", "functional": "PBE-GGA", "state": "relaxed", "de_polymorph_ev_per_atom": 0.649, "total_magnetization_mub_per_cell": 2.24, "raw_formation_energy_mev_per_atom": 1073, "lattice": [[-3.735, 2.900, -2.974], [-3.949, -1.239, 3.751], [-2.721, 4.843, 2.895]], "species": ["Mo", "Mo", "Fe", "Fe", "Fe", "Fe", "Br", "Br"], "fractional_positions": [[0.000, 0.000, 0.000], [0.750, 0.250, 0.500], [0.630, 0.125, 0.250], [0.120, 0.625, 0.250], [0.375, 0.370, 0.750], [0.875, 0.880, 0.750], [0.500, 0.500, 0.000], [0.250, 0.750, 0.500]]}

---

Entry 12:
{"formula": "PaTe2Au", "functional": "PBE-GGA", "state": "relaxed", "de_polymorph_ev_per_atom": 0.116, "total_magnetization_mub_per_cell": 0.64, "raw_formation_energy_mev_per_atom": -485, "lattice": [[-1.162, -2.108, -3.170], [-3.894, -1.676, 2.542], [-2.681, 3.843, -1.573]], "species": ["Te", "Te", "Pa", "Au"], "fractional_positions": [[0.000, 0.000, 0.500], [0.000, 0.500, 0.000], [0.500, 0.000, 0.000], [0.500, 0.500, 0.500]]}

---

Copy entry 4 word for word.
{"formula": "ScNiOs", "functional": "PBE-GGA", "state": "relaxed", "de_polymorph_ev_per_atom": 0.000, "formation_enthalpy_0k_ev_per_atom": -0.45, "total_magnetization_mub_per_cell": 0.00, "lattice": [[-3.056, -0.470, 3.935], [1.258, -3.219, 3.775], [1.548, 1.668, 4.584]], "species": ["Sc", "Sc", "Ni", "Ni", "Os", "Os"], "fractional_positions": [[0.878, 0.372, 0.372], [0.122, 0.628, 0.628], [0.500, 0.500, 0.000], [0.500, 0.000, 0.500], [0.000, 0.000, 0.000], [0.500, 0.000, 0.000]]}